Computed, not measured: an optimized crystal structure of CsSb2TeO at the PBE level of DFT.

## Properties
**E_form (uncorrected)**: 1.76 eV/atom
**VASP energy**: -1.68 eV/atom
**Distance to the lowest polymorph of the same formula**: 1781.6 meV/atom

Lattice parameters (Å, degrees): 6.664 6.664 6.647 90.00 90.00 90.00
Site moments in Bohr magnetons follow the coordinates.
Fractional positions:
Cs1 0.000 0.000 0.000  0.00
Sb1 0.000 0.500 0.000  0.54
Sb2 0.500 0.000 0.000  0.54
Te1 0.000 0.000 0.500  -0.50
O1 0.500 0.500 0.500  1.32


Computed, not measured: an optimized crystal structure of CsThSb2O8 at the PBE level of DFT.

## Properties
**E_form (uncorrected)**: -1.77 eV/atom
**VASP energy**: -6.45 eV/atom

Lattice parameters (Å, degrees): 6.233 6.233 8.509 90.00 90.00 120.00
Site moments in Bohr magnetons follow the coordinates.
Fractional positions:
Cs1 0.000 0.000 0.000  0.00
Th1 0.000 0.000 0.500  0.00
Sb1 0.667 0.333 0.262  -0.01
Sb2 0.333 0.667 0.738  -0.01
O1 0.333 0.667 0.963  0.36
O2 0.335 0.176 0.335  0.03
O3 0.824 0.159 0.335  0.03
O4 0.667 0.333 0.037  0.36
O5 0.176 0.841 0.665  0.03
O6 0.665 0.824 0.665  0.03
O7 0.159 0.335 0.665  0.03
O8 0.841 0.665 0.335  0.03